A geometry-optimized La3TcH structure, computed with GGA-PBEsol.

The structure in POSCAR format:
```
La3TcH
1.0
5.4225 0.0000 0.0000
0.0000 5.4225 0.0000
0.0000 0.0000 5.4225
La Tc H
3 1 1
direct
0.0000 0.0000 0.5000
0.0000 0.5000 0.0000
0.5000 0.0000 0.0000
0.0000 0.0000 0.0000
0.5000 0.5000 0.5000
```

Output
Final energy in eV for the cell shown: -28.174
D(E_F) in states/eV/f.u.: 3.88
Space-group type: Pm-3m, No. 221